[1]
# PaZn5Cu

A relaxed structure of PaZn5Cu (PBE, the Alexandria database).

Summary:
E ... -2.8392 eV per atom
ΔH_f (0 K) ... 0.013 eV/atom

Unit cell a=4.3521 b=4.3521 c=6.7188 alpha=90.00 beta=90.00 gamma=90.00
With the nearest neighbours (Å) after each atom.
Fractional coordinates of all 7 atoms:
Pa: 0.0000 0.0000 0.0000  12 Zn 2.98-3.08
Zn: 0.5000 0.0000 0.6960  2 Cu 2.54, 1 Zn 2.63
Zn: 0.0000 0.5000 0.6960  2 Cu 2.54, 1 Zn 2.63
Zn: 0.5000 0.5000 0.0000  8 Zn 2.98, 4 Pa 3.08
Zn: 0.0000 0.5000 0.3040  2 Cu 2.54, 1 Zn 2.63
Zn: 0.5000 0.0000 0.3040  2 Cu 2.54, 1 Zn 2.63
Cu: 0.0000 0.0000 0.5000  8 Zn 2.54

[2]
# Sr2LiTi6N2O11

A relaxed structure of Sr2LiTi6N2O11 (PBE, the Alexandria database).

Summary:
E above lowest polymorph ... 0.046 eV/atom
E ... -8.2851 eV per atom
Formation energy from raw total energies ... -2.66 eV per atom

Unit cell a=7.8984 b=7.8984 c=9.2126 alpha=83.96 beta=83.96 gamma=28.77
With the nearest neighbours (Å) after each atom.
Fractional coordinates of all 22 atoms:
Sr: 0.5457 0.5457 0.2179  7 O 2.63-2.87
Sr: 0.4165 0.4165 0.7946  3 N 2.56-2.83, 2 O 2.65, 1 Li 2.71
Li: 0.5870 0.5870 0.6790  4 O 1.87-1.98
Ti: 0.1242 0.1242 0.8985  4 O 1.90-2.02, 1 N 2.04
Ti: 0.1802 0.1802 0.5620  5 O 1.92-2.14, 1 N 2.05
Ti: 0.2429 0.2429 0.2315  4 O 1.85-2.02
Ti: 0.7547 0.7547 0.7772  3 N 1.86-2.00, 1 O 2.08
Ti: 0.8427 0.8427 0.4378  2 O 1.78-1.84
Ti: 0.8831 0.8831 0.0900  1 N 1.83, 3 O 1.90-1.99
N: 0.2357 0.2357 0.7548  4 Ti 2.00-2.05
N: 0.8312 0.8312 0.9208  2 Ti 1.83-1.86
O: 0.0701 0.0701 0.6828  1 Ti 1.92, 2 Li 1.98
O: 0.1407 0.1407 0.3637  2 Ti 1.87-1.99
O: 0.1741 0.1741 0.0784  2 Ti 1.85-1.90
O: 0.6238 0.6238 0.8747  1 Li 1.95, 3 Ti 1.97-2.10
O: 0.6939 0.6939 0.5602  1 Li 1.87, 2 Ti 1.97
O: 0.7713 0.7713 0.2451  4 Ti 2.02-2.18
O: 0.3060 0.3060 0.4351  4 Ti 2.04-2.20
O: 0.3762 0.3762 0.1286  3 Ti 1.99-2.15
O: 0.8672 0.8672 0.6287  1 Ti 1.84
O: 0.9439 0.9439 0.3237  1 Ti 1.78
O: 0.0032 0.0032 0.0100  2 Ti 1.90-2.02

[3]
# LiAgAs

A relaxed structure of LiAgAs (PBE, the Alexandria database).

Summary:
E above lowest polymorph ... 0.022 eV/atom
E ... -3.3978 eV per atom
ΔH_f (0 K) ... -0.260 eV/atom

Unit cell a=4.7724 b=4.7724 c=4.7724 alpha=141.71 beta=130.09 gamma=64.60
With the nearest neighbours (Å) after each atom.
Fractional coordinates of all 3 atoms:
As: 0.6665 0.6665 0.0000  5 Li 2.68-2.89, 5 Ag 2.68-2.88
Ag: 0.9993 0.9993 0.0000  5 As 2.68-2.88, 5 Li 2.70-2.88
Li: 0.3342 0.3342 0.0000  5 As 2.68-2.89, 5 Ag 2.70-2.88

[4]
# HfAs2PtBr

A relaxed structure of HfAs2PtBr (PBE, the Alexandria database).

Summary:
E ... -4.8537 eV per atom
Formation energy from raw total energies ... 0.54 eV per atom

Unit cell a=5.1925 b=5.1925 c=4.9905 alpha=90.00 beta=90.00 gamma=90.00
With the nearest neighbours (Å) after each atom.
Fractional coordinates of all 5 atoms:
As: 0.0000 0.5000 0.0000  2 Hf 2.60
As: 0.5000 0.0000 0.0000  2 Hf 2.60
Hf: 0.0000 0.0000 0.0000  2 Br 2.50, 4 As 2.60
Br: 0.0000 0.0000 0.5000  2 Hf 2.50
Pt: 0.5000 0.5000 0.5000  8 As 3.60, 4 Br 3.67

[5]
# AgAs2Br

A relaxed structure of AgAs2Br (PBE, the Alexandria database).

Summary:
E above lowest polymorph ... 0.611 eV/atom
E ... -2.9757 eV per atom
Formation energy from raw total energies ... 0.48 eV per atom

Unit cell a=5.9669 b=5.9669 c=3.1322 alpha=90.00 beta=90.00 gamma=126.94
With the nearest neighbours (Å) after each atom.
Fractional coordinates of all 4 atoms:
As: 0.0000 0.0000 0.0000  2 As 2.67
As: 0.5000 0.5000 0.0000  2 As 2.67
Br: 0.5000 0.0000 0.5000  2 Ag 2.67
Ag: 0.0000 0.5000 0.5000  2 Br 2.67

[6]
# TmCd6Cu6

A relaxed structure of TmCd6Cu6 (PBE, the Alexandria database).

Summary:
E ... -2.7163 eV per atom
ΔH_f (0 K) ... -0.059 eV/atom

Unit cell a=5.2209 b=7.0747 c=7.0747 alpha=82.23 beta=68.35 gamma=68.35
With the nearest neighbours (Å) after each atom.
Fractional coordinates of all 13 atoms:
Tm: 0.0000 0.0000 0.0000  8 Cd 3.14-3.20, 4 Cu 3.36
Cd: 0.3441 0.6559 0.6559  6 Cu 2.81-2.92, 3 Cd 2.90-2.99
Cd: 0.6559 0.3441 0.3441  6 Cu 2.81-2.92, 3 Cd 2.90-2.99
Cd: 0.0000 0.3372 0.6628  6 Cu 2.79-2.80, 1 Cd 3.03
Cd: 0.0000 0.6628 0.3372  6 Cu 2.79-2.80, 1 Cd 3.03
Cd: 0.3131 0.1869 0.1869  6 Cu 2.73-2.74, 2 Cd 2.99
Cd: 0.6869 0.8131 0.8131  6 Cu 2.73-2.74, 2 Cd 2.99
Cu: 0.0000 0.5000 0.0000  4 Cu 2.61-2.67, 6 Cd 2.73-2.81
Cu: 0.5000 0.5000 0.0000  4 Cu 2.61-2.67, 6 Cd 2.73-2.81
Cu: 0.0000 0.0000 0.5000  4 Cu 2.61-2.67, 6 Cd 2.73-2.81
Cu: 0.5000 0.0000 0.5000  4 Cu 2.61-2.67, 6 Cd 2.73-2.81
Cu: 0.5000 0.7721 0.2279  4 Cu 2.67, 6 Cd 2.74-2.92
Cu: 0.5000 0.2279 0.7721  4 Cu 2.67, 6 Cd 2.74-2.92

[7]
# Pm4Rh3Au

A relaxed structure of Pm4Rh3Au (PBE, the Alexandria database).

Summary:
E ... -6.2859 eV per atom
ΔH_f (0 K) ... -0.744 eV/atom

Unit cell a=3.8808 b=4.4745 c=10.8223 alpha=90.00 beta=90.00 gamma=90.00
With the nearest neighbours (Å) after each atom.
Fractional coordinates of all 8 atoms:
Au: 0.5000 0.5000 0.0819  2 Rh 2.88, 7 Pm 3.04-3.15
Rh: 0.0000 0.5000 0.5877  7 Pm 2.87-3.04, 2 Rh 2.95
Rh: 0.0000 0.0000 0.4096  7 Pm 2.88-3.15, 2 Rh 2.95
Rh: 0.5000 0.0000 0.9140  2 Au 2.88, 7 Pm 2.98-3.15
Pm: 0.5000 0.5000 0.3719  6 Rh 2.99-3.04, 1 Au 3.14
Pm: 0.0000 0.5000 0.8525  5 Rh 2.87-3.04, 2 Au 3.15
Pm: 0.0000 0.0000 0.1434  3 Rh 2.88-3.15, 4 Au 3.04
Pm: 0.5000 0.0000 0.6391  7 Rh 2.98-3.15

[8]
# NdZn2Sn

A relaxed structure of NdZn2Sn (PBE, the Alexandria database).

Summary:
E above lowest polymorph ... 0.059 eV/atom
E ... -3.1531 eV per atom
ΔH_f (0 K) ... -0.323 eV/atom

Unit cell a=4.5020 b=4.5020 c=5.8509 alpha=67.37 beta=67.37 gamma=60.00
With the nearest neighbours (Å) after each atom.
Fractional coordinates of all 4 atoms:
Zn: 0.7298 0.7298 0.8107  3 Sn 2.78, 3 Nd 3.07
Zn: 0.2702 0.2702 0.1893  3 Sn 2.78, 3 Nd 3.07
Nd: 0.5000 0.5000 0.5000  6 Zn 3.07
Sn: 0.0000 0.0000 0.0000  6 Zn 2.78

[9]
# Ba2HoAuO4

A relaxed structure of Ba2HoAuO4 (PBE, the Alexandria database).

Summary:
E ... -6.0599 eV per atom
Formation energy from raw total energies ... -2.12 eV per atom

Unit cell a=6.7188 b=6.7188 c=6.7188 alpha=74.14 beta=129.54 gamma=129.54
With the nearest neighbours (Å) after each atom.
Fractional coordinates of all 8 atoms:
Ba: 0.5000 0.7500 0.2500  4 O 2.58
Ba: 0.0000 0.0000 0.0000  4 O 2.56
Ho: 0.5000 0.2500 0.7500  4 O 2.14
Au: 0.0000 0.5000 0.5000  4 O 2.47
O: 0.5151 0.3630 0.4263  1 Ho 2.14
O: 0.0633 0.1521 0.6370  1 Ho 2.14
O: 0.9367 0.5737 0.0889  1 Ho 2.14
O: 0.4849 0.9111 0.8479  1 Ho 2.14

[10]
# SmZr2Nb

A relaxed structure of SmZr2Nb (PBE, the Alexandria database).

Summary:
E above lowest polymorph ... 0.218 eV/atom
E ... -7.6381 eV per atom
ΔH_f (0 K) ... 0.333 eV/atom

Unit cell a=3.2013 b=3.2013 c=11.1979 alpha=81.78 beta=81.78 gamma=60.00
With the nearest neighbours (Å) after each atom.
Fractional coordinates of all 4 atoms:
Nb: 0.5000 0.5000 0.5000  6 Zr 2.99, 6 Nb 3.20
Zr: 0.0957 0.0957 0.7129  3 Nb 2.99, 1 Sm 3.17, 6 Zr 3.20
Zr: 0.9043 0.9043 0.2871  3 Nb 2.99, 1 Sm 3.17, 6 Zr 3.20
Sm: 0.0000 0.0000 0.0000  2 Zr 3.17, 6 Sm 3.20

[11]
# CdCu2Hg

A relaxed structure of CdCu2Hg (PBE, the Alexandria database).

Summary:
E ... -2.2053 eV per atom
ΔH_f (0 K) ... 0.147 eV/atom

Unit cell a=5.1098 b=5.1098 c=5.1098 alpha=134.35 beta=134.35 gamma=66.54
With the nearest neighbours (Å) after each atom.
Fractional coordinates of all 4 atoms:
Cd: 0.7500 0.2500 0.5000  8 Cu 2.80-2.91, 4 Hg 2.91
Cu: 0.0000 0.0000 0.0000  4 Hg 2.80, 4 Cu 2.91, 4 Cd 2.91
Cu: 0.2500 0.7500 0.5000  4 Cd 2.80, 4 Cu 2.91, 4 Hg 2.91
Hg: 0.5000 0.5000 0.0000  8 Cu 2.80-2.91, 4 Cd 2.91

[12]
# PrNdTl

A relaxed structure of PrNdTl (PBE, the Alexandria database).

Summary:
E above lowest polymorph ... 0.098 eV/atom
E ... -4.1400 eV per atom
ΔH_f (0 K) ... -0.169 eV/atom

Unit cell a=3.8380 b=5.3903 c=5.3903 alpha=120.00 beta=90.00 gamma=90.00
With the nearest neighbours (Å) after each atom.
Fractional coordinates of all 3 atoms:
Pr: 0.3749 0.3333 0.6667  3 Tl 3.34, 3 Nd 3.54
Tl: 0.6917 0.6667 0.3333  3 Nd 3.25, 3 Pr 3.34
Nd: 0.9335 0.0000 0.0000  3 Tl 3.25, 3 Pr 3.54

[13]
# AcSn4Ru

A relaxed structure of AcSn4Ru (PBE, the Alexandria database).

Summary:
E above lowest polymorph ... 0.106 eV/atom
E ... -5.2002 eV per atom
ΔH_f (0 K) ... -0.301 eV/atom

Unit cell a=4.3927 b=8.2455 c=8.4950 alpha=90.00 beta=90.00 gamma=90.00
With the nearest neighbours (Å) after each atom.
Fractional coordinates of all 12 atoms:
Ac: 0.0000 0.6460 0.7500  1 Ru 3.43, 12 Sn 3.49-3.73
Ac: 0.0000 0.3540 0.2500  1 Ru 3.43, 12 Sn 3.49-3.73
Sn: 0.0000 0.0000 0.5000  2 Ru 2.85, 4 Sn 3.06
Sn: 0.0000 0.0000 0.0000  2 Ru 2.85, 4 Sn 3.06
Sn: 0.5000 0.9753 0.7500  2 Ru 3.04, 6 Sn 3.06-3.30
Sn: 0.5000 0.0247 0.2500  2 Ru 3.04, 6 Sn 3.06-3.30
Sn: 0.5000 0.6697 0.0717  2 Ru 2.79, 2 Sn 3.03-3.05
Sn: 0.5000 0.3303 0.9283  2 Ru 2.79, 2 Sn 3.03-3.05
Sn: 0.5000 0.6697 0.4283  2 Ru 2.79, 2 Sn 3.03-3.05
Sn: 0.5000 0.3303 0.5717  2 Ru 2.79, 2 Sn 3.03-3.05
Ru: 0.0000 0.2296 0.7500  8 Sn 2.79-3.04
Ru: 0.0000 0.7704 0.2500  8 Sn 2.79-3.04

[14]
# HoGa

A relaxed structure of HoGa (PBE, the Alexandria database).

Summary:
E ... -4.0544 eV per atom
ΔH_f (0 K) ... -0.252 eV/atom

Unit cell a=4.1685 b=4.1685 c=4.1685 alpha=60.00 beta=60.00 gamma=60.00
With the nearest neighbours (Å) after each atom.
Fractional coordinates of all 2 atoms:
Ho: 0.5000 0.5000 0.5000  6 Ga 2.95
Ga: 0.0000 0.0000 0.0000  6 Ho 2.95

[15]
# CuRu2Br

A relaxed structure of CuRu2Br (PBE, the Alexandria database).

Summary:
E above lowest polymorph ... 0.148 eV/atom
E ... -5.4868 eV per atom
Formation energy from raw total energies ... 0.59 eV per atom

Unit cell a=4.2972 b=4.2972 c=6.8018 alpha=82.73 beta=82.73 gamma=39.06
With the nearest neighbours (Å) after each atom.
Fractional coordinates of all 4 atoms:
Br: 0.3614 0.3614 0.5194  1 Cu 2.49, 2 Ru 2.58
Cu: 0.3012 0.3012 0.1703  1 Br 2.49, 5 Ru 2.61-2.70
Ru: 0.0442 0.0442 0.9754  3 Ru 2.36-2.56, 1 Cu 2.61
Ru: 0.7932 0.7932 0.8349  3 Ru 2.36-2.56, 2 Br 2.58

[16]
# HfTiZn17

A relaxed structure of HfTiZn17 (PBE, the Alexandria database).

Summary:
E ... -2.1267 eV per atom
ΔH_f (0 K) ... -0.047 eV/atom

Unit cell a=6.6519 b=6.6519 c=6.6519 alpha=82.56 beta=82.56 gamma=82.56
With the nearest neighbours (Å) after each atom.
Fractional coordinates of all 19 atoms:
Hf: 0.6666 0.6666 0.6666  16 Zn 3.04-3.26
Ti: 0.3278 0.3278 0.3278  13 Zn 2.90-3.10
Zn: 0.3041 0.0029 0.6925  8 Zn 2.53-2.76
Zn: 0.6925 0.3041 0.0029  8 Zn 2.53-2.76
Zn: 0.0029 0.6925 0.3041  8 Zn 2.53-2.76
Zn: 0.3041 0.6925 0.0029  8 Zn 2.53-2.76
Zn: 0.0029 0.3041 0.6925  8 Zn 2.53-2.76
Zn: 0.6925 0.0029 0.3041  8 Zn 2.53-2.76
Zn: 0.3498 0.8573 0.3498  9 Zn 2.47-2.75
Zn: 0.3498 0.3498 0.8573  9 Zn 2.47-2.75
Zn: 0.8573 0.3498 0.3498  9 Zn 2.47-2.75
Zn: 0.6343 0.1865 0.6343  8 Zn 2.47-2.76
Zn: 0.6343 0.6343 0.1865  8 Zn 2.47-2.76
Zn: 0.1865 0.6343 0.6343  8 Zn 2.47-2.76
Zn: 0.9883 0.5121 0.9883  10 Zn 2.53-2.76
Zn: 0.9883 0.9883 0.5121  10 Zn 2.53-2.76
Zn: 0.5121 0.9883 0.9883  10 Zn 2.53-2.76
Zn: 0.9018 0.9018 0.9018  4 Zn 2.59-2.61
Zn: 0.1038 0.1038 0.1038  7 Zn 2.61-2.76, 1 Ti 2.90

[17]
# BeAg2Hg

A relaxed structure of BeAg2Hg (PBE, the Alexandria database).

Summary:
E above lowest polymorph ... 0.155 eV/atom
E ... -2.1263 eV per atom
ΔH_f (0 K) ... 0.306 eV/atom

Unit cell a=4.5723 b=4.5723 c=4.5723 alpha=60.00 beta=60.00 gamma=60.00
With the nearest neighbours (Å) after each atom.
Fractional coordinates of all 4 atoms:
Be: 0.5000 0.5000 0.5000  4 Hg 2.80, 4 Ag 2.80
Hg: 0.7500 0.7500 0.7500  4 Ag 2.80, 4 Be 2.80
Ag: 0.0000 0.0000 0.0000  4 Ag 2.80, 4 Hg 2.80
Ag: 0.2500 0.2500 0.2500  4 Be 2.80, 4 Ag 2.80

[18]
# GaSnPb2

A relaxed structure of GaSnPb2 (PBE, the Alexandria database).

Summary:
E above lowest polymorph ... 0.045 eV/atom
E ... -3.5220 eV per atom
ΔH_f (0 K) ... 0.090 eV/atom

Unit cell a=5.4176 b=5.4176 c=5.4176 alpha=60.00 beta=60.00 gamma=60.00
With the nearest neighbours (Å) after each atom.
Fractional coordinates of all 4 atoms:
Pb: 0.2500 0.2500 0.2500  4 Sn 3.32, 4 Ga 3.32
Pb: 0.7500 0.7500 0.7500  4 Sn 3.32, 4 Ga 3.32
Sn: 0.5000 0.5000 0.5000  8 Pb 3.32
Ga: 0.0000 0.0000 0.0000  8 Pb 3.32

[19]
# Ac4AgPb8

A relaxed structure of Ac4AgPb8 (PBE, the Alexandria database).

Summary:
E ... -4.1612 eV per atom
ΔH_f (0 K) ... -0.396 eV/atom

Unit cell a=4.7381 b=4.8804 c=18.7847 alpha=90.00 beta=90.00 gamma=90.00
With the nearest neighbours (Å) after each atom.
Fractional coordinates of all 13 atoms:
Ac: 0.0000 0.0000 0.0893  10 Pb 3.49-3.81
Ac: 0.0000 0.5000 0.6076  10 Pb 3.44-3.66
Ac: 0.5000 0.5000 0.3971  8 Pb 3.66-3.98, 4 Ag 3.69
Ac: 0.5000 0.0000 0.8950  10 Pb 3.48-3.77
Ag: 0.0000 0.0000 0.3205  5 Pb 2.78-2.95
Pb: 0.0000 0.0000 0.4684  1 Ag 2.78
Pb: 0.0000 0.5000 0.9335  2 Pb 3.20, 4 Ac 3.48
Pb: 0.5000 0.5000 0.0480  2 Pb 3.20, 4 Ac 3.49
Pb: 0.5000 0.0000 0.5789  2 Pb 3.15, 4 Ac 3.44
Pb: 0.0000 0.5000 0.2318  2 Ag 2.95
Pb: 0.0000 0.0000 0.7471  4 Pb 3.41, 4 Ac 3.58-3.65
Pb: 0.5000 0.0000 0.2299  2 Ag 2.92
Pb: 0.5000 0.5000 0.7560  4 Pb 3.41, 4 Ac 3.57-3.66